Arrangement i

Ta6MoW2 | PBE | relaxed

a = 5.3914 Å, b = 5.3914 Å, c = 9.8345 Å
α = 106.63°, β = 106.63°, γ = 35.08°
With the nearest neighbours (Å) after each atom.
Fractional coordinates of all 9 atoms:
1 Ta 0.0075 0.0075 0.3323  2 W 2.78, 6 Ta 2.85-2.87
2 Ta 0.3311 0.3311 0.4376  2 W 2.83, 6 Ta 2.85-2.87
3 Ta 0.3355 0.3355 0.1106  2 Mo 2.79, 2 W 2.80, 4 Ta 2.86
4 Ta 0.6645 0.6645 0.8894  2 Mo 2.79, 2 W 2.80, 4 Ta 2.86
5 Ta 0.6689 0.6689 0.5624  2 W 2.83, 6 Ta 2.85-2.87
6 Ta 0.9925 0.9925 0.6677  2 W 2.78, 6 Ta 2.85-2.87
7 Mo 0.0000 0.0000 0.0000  4 Ta 2.79, 4 W 2.82
8 W 0.3332 0.3332 0.7829  6 Ta 2.78-2.83, 2 Mo 2.82
9 W 0.6668 0.6668 0.2171  6 Ta 2.78-2.83, 2 Mo 2.82

Summary:
magnetic moment: 0.00 μB/cell

Arrangement ii

Ta6MoW2 | PBE | relaxed

a = 7.6854 Å, b = 7.6854 Å, c = 4.4436 Å
α = 106.67°, β = 106.67°, γ = 48.14°
With the nearest neighbours (Å) after each atom.
Fractional coordinates of all 9 atoms:
1 Ta 0.0834 0.5848 0.3339  1 Mo 2.71, 3 W 2.72
2 Ta 0.2498 0.7502 0.0000  2 W 2.72, 2 Mo 2.72
3 Ta 0.4152 0.9166 0.6661  1 Mo 2.71, 3 W 2.72
4 Ta 0.5848 0.0834 0.3339  1 Mo 2.71, 3 W 2.72
5 Ta 0.7502 0.2498 0.0000  2 W 2.72, 2 Mo 2.72
6 Ta 0.9166 0.4152 0.6661  1 Mo 2.71, 3 W 2.72
7 Mo 0.0000 0.0000 0.5000  8 Ta 2.71-2.72
8 W 0.3334 0.3334 0.8332  8 Ta 2.72
9 W 0.6666 0.6666 0.1668  8 Ta 2.72

Summary:
magnetic moment: 0.00 μB/cell

Q: Which of them is the most stable? A: arrangement i.

Arrangement i

Ta3Mo2W2 | PBE | relaxed

a = 9.7678 Å, b = 9.7678 Å, c = 2.6692 Å
α = 90.00°, β = 90.00°, γ = 151.68°
With the nearest neighbours (Å) after each atom.
Fractional coordinates of all 7 atoms:
1 Ta 0.0000 0.0000 0.0000  4 Ta 2.67-2.78
2 Ta 0.1470 0.8530 0.0000  3 Ta 2.67-2.78
3 Ta 0.8530 0.1470 0.0000  3 Ta 2.67-2.78
4 Mo 0.2889 0.7111 0.5000  1 W 2.67, 4 Mo 2.67-2.81
5 Mo 0.7111 0.2889 0.5000  1 W 2.67, 4 Mo 2.67-2.81
6 W 0.4297 0.5703 0.5000  3 W 2.66-2.67, 1 Mo 2.67
7 W 0.5703 0.4297 0.5000  3 W 2.66-2.67, 1 Mo 2.67

Summary:
magnetic moment: 0.00 μB/cell

Arrangement ii

Ta3Mo2W2 | PBE | relaxed

a = 2.8332 Å, b = 6.9730 Å, c = 6.9787 Å
α = 117.85°, β = 98.02°, γ = 97.26°
With the nearest neighbours (Å) after each atom.
Fractional coordinates of all 7 atoms:
1 Ta 0.0000 0.0000 0.0000  2 Mo 2.77, 2 W 2.81, 4 Ta 2.82-2.83
2 Ta 0.4208 0.5687 0.7163  2 Mo 2.75-2.78, 2 W 2.80-2.81, 4 Ta 2.82-2.83
3 Ta 0.5792 0.4313 0.2837  2 Mo 2.75-2.78, 2 W 2.80-2.81, 4 Ta 2.82-2.83
4 Mo 0.2857 0.7168 0.1462  2 W 2.74-2.77, 3 Ta 2.75-2.78, 3 Mo 2.83
5 Mo 0.7143 0.2832 0.8538  2 W 2.74-2.77, 3 Ta 2.75-2.78, 3 Mo 2.83
6 W 0.1485 0.8599 0.5689  3 W 2.72-2.83, 2 Mo 2.74-2.77, 3 Ta 2.80-2.81
7 W 0.8515 0.1401 0.4311  3 W 2.72-2.83, 2 Mo 2.74-2.77, 3 Ta 2.80-2.81

Summary:
magnetic moment: 0.00 μB/cell

Q: Which of them is the most stable? A: arrangement ii.

Arrangement i

TaMo2W | PBE | relaxed

a = 2.7908 Å, b = 4.5214 Å, c = 5.2876 Å
α = 90.00°, β = 100.27°, γ = 90.00°
With the nearest neighbours (Å) after each atom.
Fractional coordinates of all 4 atoms:
1 Ta 0.0000 0.0000 0.0000  4 Mo 2.75-2.77, 2 W 2.79, 2 Ta 2.79
2 Mo 0.2516 0.5000 0.7506  2 W 2.76, 4 Mo 2.77-2.79, 2 Ta 2.77
3 Mo 0.4946 0.0000 0.4997  2 Ta 2.75-2.77, 2 W 2.76, 4 Mo 2.77-2.79
4 W 0.7385 0.5000 0.2529  4 Mo 2.76, 2 Ta 2.79, 2 W 2.79

Summary:
magnetic moment: 0.00 μB/cell

Arrangement ii

TaMo2W | PBE | relaxed

a = 5.7899 Å, b = 5.7899 Å, c = 5.7899 Å
α = 102.85°, β = 102.85°, γ = 123.71°
With the nearest neighbours (Å) after each atom.
Fractional coordinates of all 8 atoms:
1 Ta 0.0000 0.0000 0.0000  4 Mo 2.70, 2 W 2.73
2 Ta 0.7500 0.2500 0.5000  4 Mo 2.70, 2 W 2.73
3 Mo 0.1374 0.6250 0.0124  2 W 2.58, 2 Ta 2.70, 2 Mo 2.74
4 Mo 0.3750 0.3874 0.5124  2 W 2.58, 2 Ta 2.70, 2 Mo 2.74
5 Mo 0.6126 0.1250 0.9876  2 W 2.58, 2 Ta 2.70, 2 Mo 2.74
6 Mo 0.8750 0.8626 0.4876  2 W 2.58, 2 Ta 2.70, 2 Mo 2.74
7 W 0.2500 0.7500 0.5000  4 Mo 2.58, 2 Ta 2.73
8 W 0.5000 0.5000 0.0000  4 Mo 2.58, 2 Ta 2.73

Summary:
magnetic moment: 0.00 μB/cell

Q: Which of them is the most stable? A: arrangement i.

Arrangement i

TaMo4W | PBE | relaxed

a = 5.2226 Å, b = 5.2226 Å, c = 5.2226 Å
α = 60.00°, β = 60.00°, γ = 60.00°
With the nearest neighbours (Å) after each atom.
Fractional coordinates of all 6 atoms:
1 Ta 0.0000 0.0000 0.0000  12 Mo 3.06, 4 W 3.20
2 Mo 0.3749 0.3749 0.3749  6 Mo 2.61
3 Mo 0.3749 0.3749 0.8753  6 Mo 2.61
4 Mo 0.3749 0.8753 0.3749  6 Mo 2.61
5 Mo 0.8753 0.3749 0.3749  6 Mo 2.61
6 W 0.7500 0.7500 0.7500  12 Mo 3.06, 4 Ta 3.20

Summary:
magnetic moment: 0.00 μB/cell

Arrangement ii

TaMo4W | PBE | relaxed

a = 6.9444 Å, b = 6.9444 Å, c = 4.5222 Å
α = 90.00°, β = 90.00°, γ = 153.47°
With the nearest neighbours (Å) after each atom.
Fractional coordinates of all 6 atoms:
1 Ta 0.0000 0.0000 0.0000  4 W 2.77, 4 Mo 2.79
2 Mo 0.1669 0.8331 0.5000  6 Mo 2.75-2.77, 2 W 2.76
3 Mo 0.3309 0.6691 0.0000  6 Mo 2.71-2.77, 2 Ta 2.79
4 Mo 0.6691 0.3309 0.0000  6 Mo 2.71-2.77, 2 Ta 2.79
5 Mo 0.8331 0.1669 0.5000  6 Mo 2.75-2.77, 2 W 2.76
6 W 0.5000 0.5000 0.5000  4 Mo 2.76, 4 Ta 2.77

Summary:
magnetic moment: 0.00 μB/cell

Arrangement iii

TaMo4W | PBE | relaxed

a = 4.8924 Å, b = 4.8924 Å, c = 8.9481 Å
α = 90.00°, β = 90.00°, γ = 112.23°
With the nearest neighbours (Å) after each atom.
Fractional coordinates of all 12 atoms:
1 Ta 0.0000 0.5000 0.0000  6 Mo 2.71-2.73
2 Ta 0.5000 0.0000 0.5000  6 Mo 2.71-2.73
3 Mo 0.1652 0.3362 0.5000  3 Mo 2.67-2.70, 2 W 2.71, 1 Ta 2.73
4 Mo 0.1666 0.8334 0.2500  3 Mo 2.70-2.71, 2 Ta 2.71, 1 W 2.71
5 Mo 0.1666 0.8334 0.7500  3 Mo 2.70-2.71, 2 Ta 2.71, 1 W 2.71
6 Mo 0.3362 0.1652 0.0000  3 Mo 2.67-2.70, 2 W 2.71, 1 Ta 2.73
7 Mo 0.6638 0.8348 0.0000  3 Mo 2.67-2.70, 2 W 2.71, 1 Ta 2.73
8 Mo 0.8334 0.1666 0.2500  3 Mo 2.70-2.71, 2 Ta 2.71, 1 W 2.71
9 Mo 0.8334 0.1666 0.7500  3 Mo 2.70-2.71, 2 Ta 2.71, 1 W 2.71
10 Mo 0.8348 0.6638 0.5000  3 Mo 2.67-2.70, 2 W 2.71, 1 Ta 2.73
11 W 0.5000 0.5000 0.2500  6 Mo 2.71
12 W 0.5000 0.5000 0.7500  6 Mo 2.71

Summary:
magnetic moment: 0.00 μB/cell

Q: Which of them is the most stable? A: arrangement ii.

Arrangement i

TaMoW3 | PBE | relaxed

a = 4.6746 Å, b = 4.6746 Å, c = 4.6746 Å
α = 90.00°, β = 90.00°, γ = 90.00°
With the nearest neighbours (Å) after each atom.
Fractional coordinates of all 5 atoms:
1 Ta 0.0000 0.0000 0.0000  12 W 3.31
2 Mo 0.5000 0.5000 0.5000  6 W 2.34
3 W 0.0000 0.5000 0.5000  2 Mo 2.34
4 W 0.5000 0.0000 0.5000  2 Mo 2.34
5 W 0.5000 0.5000 0.0000  2 Mo 2.34

Summary:
magnetic moment: 0.00 μB/cell

Arrangement ii

TaMoW3 | PBE | relaxed

a = 7.3230 Å, b = 7.3230 Å, c = 7.0623 Å
α = 104.39°, β = 104.39°, γ = 97.21°
With the nearest neighbours (Å) after each atom.
Fractional coordinates of all 20 atoms:
1 Ta 0.0808 0.9192 0.7500  8 W 2.68-2.90
2 Ta 0.3410 0.6590 0.2500  8 W 2.79-2.97, 4 Mo 2.81-2.85
3 Ta 0.6590 0.3410 0.7500  8 W 2.79-2.97, 4 Mo 2.81-2.85
4 Ta 0.9192 0.0808 0.2500  8 W 2.68-2.90
5 Mo 0.3277 0.3978 0.8708  3 W 2.55-2.79, 1 Mo 2.71, 2 Ta 2.81-2.85
6 Mo 0.3978 0.3277 0.3708  3 W 2.55-2.79, 1 Mo 2.71, 2 Ta 2.81-2.85
7 Mo 0.6022 0.6723 0.6292  3 W 2.55-2.79, 1 Mo 2.71, 2 Ta 2.81-2.85
8 Mo 0.6723 0.6022 0.1292  3 W 2.55-2.79, 1 Mo 2.71, 2 Ta 2.81-2.85
9 W 0.0038 0.3659 0.0893  2 W 2.58-2.79, 2 Ta 2.69-2.84
10 W 0.0155 0.7654 0.3474  1 Mo 2.55, 2 W 2.64-2.79, 3 Ta 2.68-2.79
11 W 0.1907 0.5636 0.5714  4 W 2.64-2.94, 3 Mo 2.73-2.92, 2 Ta 2.90-2.95
12 W 0.2346 0.9845 0.1526  1 Mo 2.55, 2 W 2.64-2.79, 3 Ta 2.68-2.79
13 W 0.3659 0.0038 0.5893  2 W 2.58-2.79, 2 Ta 2.69-2.84
14 W 0.4364 0.8093 0.9286  4 W 2.64-2.94, 3 Mo 2.73-2.92, 2 Ta 2.90-2.95
15 W 0.5636 0.1907 0.0714  4 W 2.64-2.94, 3 Mo 2.73-2.92, 2 Ta 2.90-2.95
16 W 0.6341 0.9962 0.4107  2 W 2.58-2.79, 2 Ta 2.69-2.84
17 W 0.7654 0.0155 0.8474  1 Mo 2.55, 2 W 2.64-2.79, 3 Ta 2.68-2.79
18 W 0.8093 0.4364 0.4286  4 W 2.64-2.94, 3 Mo 2.73-2.92, 2 Ta 2.90-2.95
19 W 0.9845 0.2346 0.6526  1 Mo 2.55, 2 W 2.64-2.79, 3 Ta 2.68-2.79
20 W 0.9962 0.6341 0.9107  2 W 2.58-2.79, 2 Ta 2.69-2.84

Summary:
magnetic moment: 0.00 μB/cell

Q: Which of them is the most stable? A: arrangement ii.